Entry from Alexandria: a relaxed structure of BaCaPb (PBE).

The space group is P-6m2 (No. 187) and the conventional cell measures 5.5452, 5.5452 and 4.5770 Å, with angles of 90.00, 90.00 and 120.00 degrees. The inequivalent atoms are Ba at (0.0000, 0.0000, 0.0000), Ca at (0.6667, 0.3333, 0.5000) and Pb at (0.3333, 0.6667, 0.5000).

For the formation energy, the calculation gives -390 meV/atom. The volume comes out at 40.63 Å³/atom.